1.
A geometry-optimized Pr8Sc2Cd structure. Source: Alexandria via LeMat-Bulk, functional PBE.

Lattice parameters (Å, degrees): 5.0728 8.0429 9.4168 105.24 105.63 90.00
Sites, in units of the cell vectors:
Pr  0.4047  0.5503  0.8093
Pr  0.6810  0.9122  0.3619
Pr  0.8607  0.8103  0.7213
Pr  0.9526  0.2743  0.9052
Pr  0.1393  0.1897  0.2787
Pr  0.3190  0.0878  0.6381
Pr  0.5953  0.4497  0.1907
Pr  0.0474  0.7257  0.0948
Sc  0.7741  0.3687  0.5483
Sc  0.2259  0.6313  0.4517
Cd  0.5000  0.0000  0.0000

Results
- N(E_F) (states/eV/atom) = 1.438
- mass density (Mg/m³) = 6.2
- energy of formation (eV per atom) = -0.005
- calculated volume (Å³ per cell) = 356
- total magnetic moment (Bohr magnetons per cell) = 0.0

=====

2.
A geometry-optimized RbTlTcF6 structure. Source: Alexandria via LeMat-Bulk, functional PBE.

Lattice parameters (Å, degrees): 6.7899 6.7899 8.8120 90.00 90.00 120.00
Last column: magnetic moment on the atom in μB.
Sites, in units of the cell vectors:
Rb  0.3333  0.6667  0.2500  0.00
Rb  0.6667  0.3333  0.7500  0.00
Tl  0.0000  0.0000  0.0000  0.00
Tl  0.0000  0.0000  0.5000  0.00
Tc  0.6667  0.3333  0.2500  2.42
Tc  0.3333  0.6667  0.7500  2.42
F  0.6723  0.5775  0.1254  0.06
F  0.9053  0.3277  0.1254  0.06
F  0.3277  0.9053  0.6254  0.06
F  0.0947  0.6723  0.8746  0.06
F  0.4225  0.3277  0.3746  0.06
F  0.9053  0.5775  0.3746  0.06
F  0.5775  0.9053  0.8746  0.06
F  0.6723  0.0947  0.3746  0.06
F  0.0947  0.4225  0.6254  0.06
F  0.4225  0.0947  0.1254  0.06
F  0.5775  0.6723  0.6254  0.06
F  0.3277  0.4225  0.8746  0.06

Results
- N(E_F) (states/eV/atom) = 0.000
- mass density (Mg/m³) = 4.7
- ΔE_f (raw) (eV/atom) = -2.31
- calculated volume (Å³ per cell) = 352
- total magnetic moment (Bohr magnetons per cell) = 6.0